# Ta2AlRh2 PBE optimized geometry
data_Ta2AlRh2
_cell_length_a 7.454
_cell_length_b 7.454
_cell_length_c 3.015
_cell_angle_alpha 90.00
_cell_angle_beta 90.00
_cell_angle_gamma 90.00
_symmetry_space_group_name_H-M 'P 1'
_symmetry_Int_Tables_number 1
loop_
_symmetry_equiv_pos_as_xyz
'x,y,z'
loop_
_atom_site_label
_atom_site_fract_x
_atom_site_fract_y
_atom_site_fract_z
Rh1 0.370 0.870 0.000
Rh2 0.870 0.630 0.000
Rh3 0.630 0.130 0.000
Rh4 0.130 0.370 0.000
Al1 0.000 0.000 0.000
Al2 0.500 0.500 0.000
Ta1 0.168 0.668 0.500
Ta2 0.668 0.832 0.500
Ta3 0.832 0.332 0.500
Ta4 0.332 0.168 0.500
# **Excess energy over the best structure of this formula in the dataset**: 0.00 eV per formula unit
# **E**: -88.20 eV per cell
# **Calculated volume**: 16.75 Å³ per atom

# TaAl2Rh3 PBE optimized geometry
data_TaAl2Rh3
_cell_length_a 2.921
_cell_length_b 2.921
_cell_length_c 10.068
_cell_angle_alpha 90.00
_cell_angle_beta 90.00
_cell_angle_gamma 90.00
_symmetry_space_group_name_H-M 'P 1'
_symmetry_Int_Tables_number 1
loop_
_symmetry_equiv_pos_as_xyz
'x,y,z'
loop_
_atom_site_label
_atom_site_fract_x
_atom_site_fract_y
_atom_site_fract_z
Ta1 0.500 0.500 0.500
Al1 0.500 0.500 0.844
Al2 0.500 0.500 0.156
Rh1 0.000 0.000 0.000
Rh2 0.000 0.000 0.691
Rh3 0.000 0.000 0.309
# **E**: -46.90 eV per cell
# **Calculated volume**: 14.31 Å³ per atom

# Ta3AlRh PBE optimized geometry
data_Ta3AlRh
_cell_length_a 4.791
_cell_length_b 4.791
_cell_length_c 4.791
_cell_angle_alpha 90.00
_cell_angle_beta 90.00
_cell_angle_gamma 90.00
_symmetry_space_group_name_H-M 'P 1'
_symmetry_Int_Tables_number 1
loop_
_symmetry_equiv_pos_as_xyz
'x,y,z'
loop_
_atom_site_label
_atom_site_fract_x
_atom_site_fract_y
_atom_site_fract_z
Rh1 0.000 0.000 0.000
Al1 0.500 0.500 0.500
Ta1 0.000 0.500 0.000
Ta2 0.000 0.000 0.500
Ta3 0.500 0.000 0.000
# **Excess energy over the best structure of this formula in the dataset**: 0.00 eV per formula unit
# **E**: -41.53 eV per cell
# **Calculated volume**: 21.99 Å³ per atom

# TaAlRh PBE optimized geometry
data_TaAlRh
_cell_length_a 4.252
_cell_length_b 4.252
_cell_length_c 4.252
_cell_angle_alpha 60.00
_cell_angle_beta 60.00
_cell_angle_gamma 60.00
_symmetry_space_group_name_H-M 'P 1'
_symmetry_Int_Tables_number 1
loop_
_symmetry_equiv_pos_as_xyz
'x,y,z'
loop_
_atom_site_label
_atom_site_fract_x
_atom_site_fract_y
_atom_site_fract_z
Rh1 0.750 0.750 0.750
Al1 0.500 0.500 0.500
Ta1 0.000 0.000 0.000
# **E**: -24.07 eV per cell
# **Calculated volume**: 18.12 Å³ per atom

# TaAlRh PBE optimized geometry
data_TaAlRh
_cell_length_a 2.959
_cell_length_b 2.959
_cell_length_c 11.254
_cell_angle_alpha 97.55
_cell_angle_beta 97.55
_cell_angle_gamma 90.00
_symmetry_space_group_name_H-M 'P 1'
_symmetry_Int_Tables_number 1
loop_
_symmetry_equiv_pos_as_xyz
'x,y,z'
loop_
_atom_site_label
_atom_site_fract_x
_atom_site_fract_y
_atom_site_fract_z
Al1 0.291 0.291 0.582
Al2 0.709 0.709 0.418
Rh1 0.147 0.147 0.295
Rh2 0.853 0.853 0.705
Ta1 0.561 0.561 0.121
Ta2 0.439 0.439 0.879
# **E**: -47.52 eV per cell
# **Calculated volume**: 16.14 Å³ per atom

# TaAlRh PBE optimized geometry
data_TaAlRh
_cell_length_a 4.353
_cell_length_b 4.353
_cell_length_c 2.853
_cell_angle_alpha 90.00
_cell_angle_beta 90.00
_cell_angle_gamma 120.00
_symmetry_space_group_name_H-M 'P 1'
_symmetry_Int_Tables_number 1
loop_
_symmetry_equiv_pos_as_xyz
'x,y,z'
loop_
_atom_site_label
_atom_site_fract_x
_atom_site_fract_y
_atom_site_fract_z
Rh1 0.667 0.333 0.167
Al1 0.000 0.000 0.166
Ta1 0.333 0.667 0.667
# **E**: -24.55 eV per cell
# **Calculated volume**: 15.61 Å³ per atom

calculated volume of number 5 (TaAlRh)?
16.14 Å³ per atom